1.
Density functional theory data (PBE) for an optimized crystal structure of Ho4TlBiC.

```
Ho4TlBiC
1.0
3.399 -7.970 0.000
3.399 7.970 0.000
0.000 0.000 6.799
Ho Tl Bi C
8 2 2 2
direct
0.000 0.500 0.000
0.000 0.500 0.500
0.090 0.910 0.750
0.404 0.596 0.750
0.500 0.000 0.000
0.500 0.000 0.500
0.596 0.404 0.250
0.910 0.090 0.250
0.111 0.889 0.250
0.889 0.111 0.750
0.394 0.606 0.250
0.606 0.394 0.750
0.250 0.750 0.750
0.750 0.250 0.250
```

DOS(E_F) in states/eV/atom: 0.18
Energy relative to the elements in eV/atom: -0.545
E in eV/atom: -5.3715

---

2.
Density functional theory data (PBE) for an optimized crystal structure of HoTm3Bi2C.

```
HoTm3Bi2C
1.0
-2.391 2.416 7.902
2.391 -2.416 7.902
2.391 2.416 -7.902
Ho Tm Bi C
1 3 2 1
direct
0.000 0.000 0.000
0.349 0.849 0.500
0.500 0.500 0.000
0.651 0.151 0.500
0.146 0.646 0.500
0.854 0.354 0.500
0.500 0.000 0.500
```

DOS(E_F) in states/eV/atom: 0.76
Energy relative to the elements in eV/atom: -0.618
E in eV/atom: -5.6144

---

3.
Density functional theory data (PBE) for an optimized crystal structure of Ho2Tm2Bi2C.

```
Ho2Tm2Bi2C
1.0
-2.393 2.393 7.963
2.393 -2.393 7.963
2.393 2.393 -7.963
Ho Tm Bi C
2 2 2 1
direct
0.153 0.153 0.000
0.847 0.847 0.000
0.000 0.500 0.500
0.500 0.000 0.500
0.356 0.356 0.000
0.644 0.644 0.000
0.000 0.000 0.000
```

DOS(E_F) in states/eV/atom: 0.82
Energy relative to the elements in eV/atom: -0.651
E in eV/atom: -5.6631

---

4.
Density functional theory data (PBE) for an optimized crystal structure of Ho3TmBi2C.

```
Ho3TmBi2C
1.0
-2.393 2.417 7.966
2.393 -2.417 7.966
2.393 2.417 -7.966
Ho Tm Bi C
3 1 2 1
direct
0.000 0.000 0.000
0.348 0.848 0.500
0.652 0.152 0.500
0.500 0.500 0.000
0.145 0.645 0.500
0.855 0.355 0.500
0.500 0.000 0.500
```

DOS(E_F) in states/eV/atom: 0.79
Energy relative to the elements in eV/atom: -0.644
E in eV/atom: -5.6715

---

5.
Density functional theory data (PBE) for an optimized crystal structure of Y2HoBiC.

```
Y2HoBiC
1.0
4.936 0.000 0.000
0.000 4.936 0.000
0.000 0.000 4.898
Y Ho Bi C
2 1 1 1
direct
0.000 0.500 0.000
0.500 0.000 0.000
0.000 0.000 0.500
0.500 0.500 0.500
0.000 0.000 0.000
```

DOS(E_F) in states/eV/atom: 0.68
Energy relative to the elements in eV/atom: -0.553
E in eV/atom: -6.6749

---

6.
Density functional theory data (PBE) for an optimized crystal structure of Y2Ho2Bi2C.

```
Y2Ho2Bi2C
1.0
-2.418 2.418 8.007
2.418 -2.418 8.007
2.418 2.418 -8.007
Y Ho Bi C
2 2 2 1
direct
0.154 0.154 0.000
0.846 0.846 0.000
0.000 0.500 0.500
0.500 0.000 0.500
0.356 0.356 0.000
0.644 0.644 0.000
0.000 0.000 0.000
```

DOS(E_F) in states/eV/atom: 0.84
Energy relative to the elements in eV/atom: -0.667
E in eV/atom: -6.2479